RbBiPt2Pb | the Alexandria database | PBE | relaxed; symmetry = P2_1/m, No. 11; uncorrected energy = -43.827 eV/cell; crystal system = monoclinic; formation enthalpy at 0 K = -1.27 eV/f.u.
1.0
-2.360 -3.731 0.443
3.405 -1.341 6.840
-9.134 5.730 -0.398
Bi Rb Pt Pb
2 2 4 2
Direct
0.750 0.667 0.876 Bi
0.250 0.333 0.124 Bi
0.250 0.950 0.237 Rb
0.750 0.050 0.763 Rb
0.750 0.498 0.074 Pt
0.250 0.502 0.926 Pt
0.250 0.486 0.419 Pt
0.750 0.514 0.581 Pt
0.750 0.671 0.380 Pb
0.250 0.329 0.620 Pb